No. 1
Material: Li4Cr
Method: DFT, PBE
State: relaxed

```
Li4Cr
1.0
2.592 -0.226 4.805
-3.325 4.336 -0.074
-2.933 -4.557 -0.704
Li Cr
4 1
direct
0.000 0.000 0.500 Li
0.500 0.500 0.500 Li
0.000 0.500 0.000 Li
0.500 0.000 0.000 Li
0.000 0.000 0.000 Cr
```

Space group = No. 229
VASP energy = -14.28 eV for the cell shown
Calculated formation energy = 58 kJ/mol of atoms
Magnetic moment = 4.91 μB per formula unit



No. 2
Material: LiCr3
Method: DFT, PBE
State: relaxed

```
LiCr3
1.0
3.902 -5.139 4.940
-0.861 -6.059 5.347
-1.363 3.979 -6.953
Li Cr
2 6
direct
0.375 0.375 0.000 Li
0.625 0.625 0.000 Li
0.000 0.500 0.500 Cr
0.500 0.000 0.500 Cr
0.875 0.875 0.000 Cr
0.125 0.125 0.000 Cr
0.750 0.250 0.500 Cr
0.250 0.750 0.500 Cr
```

Space group = No. 139
VASP energy = -57.16 eV for the cell shown
Calculated formation energy = 53 kJ/mol of atoms
Magnetic moment = 0.00 μB per formula unit



No. 3
Material: Li2Cr
Method: DFT, PBE
State: relaxed

```
Li2Cr
1.0
-1.185 1.185 14.353
1.185 -1.185 14.353
1.185 1.185 -14.353
Li Cr
4 2
direct
0.329 0.829 0.500 Li
0.421 0.421 0.000 Li
0.171 0.671 0.500 Li
0.579 0.579 0.000 Li
0.000 0.000 0.000 Cr
0.750 0.250 0.500 Cr
```

Space group = No. 141
VASP energy = -24.33 eV for the cell shown
Calculated formation energy = 41 kJ/mol of atoms
Magnetic moment = 0.00 μB per formula unit



- What is the formula in the third record?
  Li2Cr